Entry 1:
The following is a PBE calculation of a relaxed Li3Ho2Hg4 crystal, from Alexandria.

Lattice parameters (Å, degrees): 5.996 15.591 8.242 90.00 90.00 90.00
Space group Cmce (No. 64)
Unique sites:
Li1 0.000 0.000 0.000 [4 per cell]
Li2 0.250 0.218 0.250 [8 per cell]
Ho1 0.000 0.115 0.583 [8 per cell]
Hg1 0.000 0.183 0.960 [8 per cell]
Hg2 0.250 0.046 0.250 [8 per cell]

Results
Theoretical density, g cm⁻³: 9.9
DOS at the Fermi energy, states/eV per cell: 21.4
ΔE_f, meV per atom: -356.4


Entry 2:
The following is a PBE calculation of a relaxed Li2HoHg9 crystal, from Alexandria.

Lattice parameters (Å, degrees): 4.538 4.538 13.397 90.00 90.00 90.00
Space group P4/mmm (No. 123)
Unique sites:
Li1 0.000 0.000 0.160 [2 per cell]
Ho1 0.000 0.000 0.500 [1 per cell]
Hg1 0.000 0.500 0.000 [2 per cell]
Hg2 0.000 0.500 0.325 [4 per cell]
Hg3 0.500 0.500 0.163 [2 per cell]
Hg4 0.500 0.500 0.500 [1 per cell]

Results
Theoretical density, g cm⁻³: 11.9
DOS at the Fermi energy, states/eV per cell: 3.3
ΔE_f, meV per atom: -221.4


Entry 3:
The following is a PBE calculation of a relaxed LiHo6Hg5 crystal, from Alexandria.

Lattice parameters (Å, degrees): 5.198 7.408 15.760 90.00 90.00 90.00
Space group Immm (No. 71)
Unique sites:
Li1 0.000 0.000 0.000 [2 per cell]
Ho1 0.000 0.245 0.500 [4 per cell]
Ho2 0.000 0.249 0.168 [8 per cell]
Hg1 0.000 0.000 0.333 [4 per cell]
Hg2 0.000 0.500 0.000 [2 per cell]
Hg3 0.000 0.500 0.347 [4 per cell]

Results
Theoretical density, g cm⁻³: 10.9
DOS at the Fermi energy, states/eV per cell: 21.4
ΔE_f, meV per atom: -409.2